*A*
DFT (PBE-GGA) results for a relaxed Ni5Pt4 crystal.

Results
The symmetry is No. 139. As for the spin magnetization: 0.5388 μB per atom.

a = 5.916 Å, b = 5.916 Å, c = 5.916 Å
α = 95.85°, β = 95.85°, γ = 142.76°
Atoms (fractional coordinates):
Ni  0.000  0.000  0.000
Ni  0.338  0.338  0.675
Ni  0.338  0.662  0.000
Ni  0.662  0.338  0.000
Ni  0.662  0.662  0.325
Pt  0.000  0.320  0.320
Pt  0.000  0.680  0.680
Pt  0.320  0.000  0.320
Pt  0.680  0.000  0.680


*B*
DFT (PBE-GGA) results for a relaxed Ni5Pt4 crystal.

Results
The symmetry is No. 193. As for the spin magnetization: 0.5484 μB per atom.

a = 7.373 Å, b = 7.373 Å, c = 5.157 Å
α = 90.00°, β = 90.00°, γ = 120.00°
Atoms (fractional coordinates):
Ni  0.000  0.321  0.250
Ni  0.000  0.679  0.750
Ni  0.321  0.000  0.250
Ni  0.321  0.321  0.750
Ni  0.333  0.667  0.000
Ni  0.333  0.667  0.500
Ni  0.667  0.333  0.000
Ni  0.667  0.333  0.500
Ni  0.679  0.000  0.750
Ni  0.679  0.679  0.250
Pt  0.000  0.000  0.000
Pt  0.000  0.000  0.500
Pt  0.000  0.351  0.750
Pt  0.000  0.649  0.250
Pt  0.351  0.000  0.750
Pt  0.351  0.351  0.250
Pt  0.649  0.000  0.250
Pt  0.649  0.649  0.750


Tell me which of them is the least stable. Sure, it is *B*.